Density functional theory data (PBE) for crystalline CdCuAgPb at its relaxed geometry.

Output
- final energy (eV/cell) = -41.75
- offset from the most stable computed form (eV per atom) = 0.000

Geometry as CIF:
```
data_CdCuAgPb
_chemical_formula_sum 'Cd4 Cu4 Ag4 Pb4'
_space_group_name_H-M_alt 'F -4 3 m'
_space_group_IT_number 216
_space_group_name_Hall 'F -4 2 3'
_cell_length_a 6.8813
_cell_length_b 6.8813
_cell_length_c 6.8813
_cell_angle_alpha 90.00
_cell_angle_beta 90.00
_cell_angle_gamma 90.00
loop_
_atom_site_label
_atom_site_type_symbol
_atom_site_fract_x
_atom_site_fract_y
_atom_site_fract_z
Cd1 Cd 0.0000 0.0000 0.0000
Cu1 Cu 0.2500 0.2500 0.7500
Ag1 Ag 0.2500 0.2500 0.2500
Pb1 Pb 0.0000 0.0000 0.5000
```